(1)
Below is a geometry-optimized Cs3SeF structure, with properties calculated at the GGA-PBE level.

```
Cs3SeF
1.0
5.7862 0.0000 0.0000
0.0000 5.7862 0.0000
0.0000 0.0000 5.7862
Cs Se F
3 1 1
Cartesian
0.0000 0.0000 2.8931
0.0000 2.8931 0.0000
2.8931 0.0000 0.0000
2.8931 2.8931 2.8931
0.0000 0.0000 0.0000
```

Output
Calculated volume ... 38.7 Å³/atom
E_form (uncorrected) ... -1.65 eV/atom

***

(2)
Below is a geometry-optimized Sm2DySc5 structure, with properties calculated at the GGA-PBE level.

```
Sm2DySc5
1.0
6.7347 0.0000 0.0000
0.0000 13.4749 0.0000
0.0000 0.0000 4.8342
Sm Dy Sc
4 2 10
Cartesian
1.6142 1.7175 0.0000
1.7532 8.4550 0.0000
4.9815 5.0199 0.0000
5.1205 11.7573 0.0000
0.0000 6.7374 2.4171
3.3673 0.0000 2.4171
0.0000 0.0000 2.4171
0.0741 10.1405 2.4171
1.6399 5.0396 0.0000
1.7274 11.7771 0.0000
3.2932 3.4031 2.4171
3.3673 6.7374 2.4171
3.4415 10.0718 2.4171
5.0072 1.6978 0.0000
5.0948 8.4352 0.0000
6.6605 3.3343 2.4171
```

Output
Energy of formation from the pure elements ... 0.0605 eV per atom
Calculated volume ... 27.4 Å³/atom

***

(3)
Below is a geometry-optimized Tb3Pm3Nd2 structure, with properties calculated at the GGA-PBE level.

```
Tb3Pm3Nd2
1.0
5.8368 0.0000 0.0000
0.0000 14.7107 0.0000
-0.0004 0.0000 6.3465
Tb Pm Nd
6 6 4
Cartesian
1.4561 3.6777 2.1373
1.4589 0.0020 2.1198
1.4589 7.3533 2.1198
4.3775 14.7086 4.2268
4.3775 7.3574 4.2268
4.3803 11.0330 4.2093
1.4572 1.8312 5.2999
1.4572 5.5241 5.2999
1.4613 11.0330 2.1002
4.3751 3.6777 4.2463
4.3792 9.1865 1.0467
4.3792 12.8794 1.0467
1.4614 9.1888 5.2669
1.4614 12.8772 5.2669
4.3750 1.8334 1.0796
4.3750 5.5219 1.0796
```

Output
Energy of formation from the pure elements ... 0.0281 eV per atom
Calculated volume ... 34.1 Å³/atom

***

(4)
Below is a geometry-optimized Li5Ge2Pd12 structure, with properties calculated at the GGA-PBE level.

```
Li5Ge2Pd12
1.0
6.7133 -4.3730 0.0000
6.7133 4.3730 0.0000
-1.0448 0.0000 4.8718
Li Ge Pd
5 2 12
Cartesian
0.0000 0.0000 0.0000
2.8121 0.0000 0.1469
3.6607 0.0000 2.9760
8.7211 0.0000 1.8958
9.5696 0.0000 4.7249
6.1909 2.2063 2.4359
6.1909 -2.2063 2.4359
3.7838 2.0942 1.3849
0.9136 0.0000 2.3628
4.4822 2.1048 4.1792
7.8996 2.1048 0.6926
5.7760 0.0000 1.0832
8.5979 2.0942 3.4869
3.7838 -2.0942 1.3849
6.6057 0.0000 3.7886
4.4822 -2.1048 4.1792
7.8996 -2.1048 0.6926
11.4681 0.0000 2.5090
8.5979 -2.0942 3.4869
```

Output
Energy of formation from the pure elements ... -0.4036 eV per atom
Calculated volume ... 15.1 Å³/atom

***

(5)
Below is a geometry-optimized Mg2HgOsAu structure, with properties calculated at the GGA-PBE level.

```
Mg2HgOsAu
1.0
4.9727 0.0000 0.0000
0.0000 4.9727 0.0000
0.0000 0.0000 5.0492
Mg Hg Os Au
2 1 1 1
Cartesian
0.0000 2.4864 0.0000
2.4864 0.0000 0.0000
0.0000 0.0000 2.5246
2.4864 2.4864 2.5246
2.4864 2.4864 0.0000
```

Output
Energy of formation from the pure elements ... 0.8144 eV per atom
Calculated volume ... 25.0 Å³/atom

***

(6)
Below is a geometry-optimized SmZr2Cd structure, with properties calculated at the GGA-PBE level.

```
SmZr2Cd
1.0
3.1440 0.0000 0.0000
-1.5720 2.7228 0.0000
0.0000 0.0000 35.2416
Sm Zr Cd
3 6 3
Cartesian
0.0000 0.0000 0.0000
0.0000 1.8152 23.4944
1.5720 0.9076 11.7472
0.0000 0.0000 3.2508
0.0000 0.0000 31.9909
0.0000 1.8152 20.2437
0.0000 1.8152 26.7452
1.5720 0.9076 8.4964
1.5720 0.9076 14.9979
0.0000 0.0000 17.6208
0.0000 1.8152 5.8736
1.5720 0.9076 29.3680
```

Output
Energy of formation from the pure elements ... 0.2641 eV per atom
Calculated volume ... 25.1 Å³/atom

***

(7)
Below is a geometry-optimized YAs2Se structure, with properties calculated at the GGA-PBE level.

```
YAs2Se
1.0
5.9617 0.0000 0.0000
0.0000 7.4521 0.0000
0.0000 0.0000 3.8778
Y As Se
2 4 2
Cartesian
0.0000 0.0000 0.0000
2.9809 3.7260 0.0000
1.4904 1.8630 1.9389
1.4904 5.5890 1.9389
4.4713 1.8630 1.9389
4.4713 5.5890 1.9389
0.0000 3.7260 0.0000
2.9809 0.0000 0.0000
```

Output
Calculated volume ... 21.5 Å³/atom
E_form (uncorrected) ... -0.50 eV/atom

***

(8)
Below is a geometry-optimized SrTc2Os structure, with properties calculated at the GGA-PBE level.

```
SrTc2Os
1.0
5.7625 0.0000 0.0000
0.0000 9.1984 0.0000
0.0000 0.0000 2.6453
Sr Tc Os
2 4 2
Cartesian
0.0000 0.0000 0.0000
2.8812 4.5992 0.0000
1.4406 2.2996 1.3227
1.4406 6.8988 1.3227
4.3218 2.2996 1.3227
4.3218 6.8988 1.3227
0.0000 4.5992 0.0000
2.8812 0.0000 0.0000
```

Output
Energy of formation from the pure elements ... 1.0914 eV per atom
Calculated volume ... 17.5 Å³/atom

***

(9)
Below is a geometry-optimized LaAlZnAu3 structure, with properties calculated at the GGA-PBE level.

```
LaAlZnAu3
1.0
3.3241 -6.0345 0.0000
3.3241 6.0345 0.0000
0.0000 0.0000 6.5371
La Al Zn Au
2 2 2 6
Cartesian
3.3241 3.5295 4.9028
3.3241 -3.5295 1.6343
3.3241 4.6053 1.6343
3.3241 -4.6053 4.9028
3.3241 0.4975 4.9028
3.3241 -0.4975 1.6343
1.4264 0.0000 0.0000
1.4264 0.0000 3.2685
3.3241 2.1446 1.6343
3.3241 -2.1446 4.9028
5.2219 0.0000 0.0000
5.2219 0.0000 3.2685
```

Output
Energy of formation from the pure elements ... -0.4606 eV per atom
Calculated volume ... 21.9 Å³/atom

***

(10)
Below is a geometry-optimized NbIn3As structure, with properties calculated at the GGA-PBE level.

```
NbIn3As
1.0
5.4162 0.0000 0.0000
0.0000 5.4162 0.0000
0.0000 0.0000 5.4162
Nb In As
1 3 1
Cartesian
0.0000 0.0000 0.0000
0.0000 0.0000 2.7081
0.0000 2.7081 0.0000
2.7081 0.0000 0.0000
2.7081 2.7081 2.7081
```

Output
Energy of formation from the pure elements ... 0.9131 eV per atom
Calculated volume ... 31.8 Å³/atom

***

(11)
Below is a geometry-optimized CeTiV4 structure, with properties calculated at the GGA-PBE level.

```
CeTiV4
1.0
0.0000 3.6450 3.6450
3.6450 0.0000 3.6450
3.6450 3.6450 0.0000
Ce Ti V
1 1 4
Cartesian
0.0000 0.0000 0.0000
1.8225 1.8225 1.8225
4.5559 2.7342 2.7342
2.7342 4.5559 2.7342
2.7342 2.7342 4.5559
4.5559 4.5559 4.5559
```

Output
Energy of formation from the pure elements ... 0.1785 eV per atom
Calculated volume ... 16.1 Å³/atom

***

(12)
Below is a geometry-optimized ZnAu2Se structure, with properties calculated at the GGA-PBE level.

```
ZnAu2Se
1.0
2.9020 0.0000 0.0000
0.0000 3.8215 0.0000
0.0000 0.0000 6.8718
Zn Au Se
1 2 1
Cartesian
0.0000 0.0000 0.0000
0.0000 0.0000 3.8850
1.4510 1.9108 5.5159
0.0000 1.9108 1.8208
```

Output
Calculated volume ... 19.1 Å³/atom
E_form (uncorrected) ... -0.03 eV/atom

***

The records above yield total magnetization values of 0.00 0.00 0.00 0.00 2.14 0.00 0.00 0.02 0.00 0.00 0.00 0.00 μB per formula unit, respectively.
The records above yield total energy values of -3.24 -5.65 -4.68 -4.67 -2.79 -5.42 -5.31 -7.32 -3.76 -3.67 -8.21 -2.86 eV/atom, respectively.